(1)
Here is crystalline Be2ZnSi at its relaxed geometry from Alexandria via LeMat-Bulk. Energies are from GGA-PBE.

Cell and atoms, written as CIF:
```
data_Be2ZnSi
_space_group_name_H-M_alt 'C 1 2/m 1'
_space_group_IT_number 12
_space_group_name_Hall '-C 2y'
_cell_length_a 7.4664
_cell_length_b 2.7795
_cell_length_c 4.6800
_cell_angle_alpha 90.00
_cell_angle_beta 101.28
_cell_angle_gamma 90.00
loop_
_atom_site_label
_atom_site_type_symbol
_atom_site_fract_x
_atom_site_fract_y
_atom_site_fract_z
_atom_site_occupancy
Be1 Be 0.2479 0.0000 0.2431 1
Zn1 Zn 0.0000 0.0000 0.5000 1
Si1 Si 0.0000 0.5000 0.0000 1
```

Summary:
- energy relative to the lowest polymorph listed for this composition (meV/atom) = 48
- E_form (uncorrected) (meV/atom) = 321

---

(2)
Here is crystalline ScTlZnCl6 at its relaxed geometry from Alexandria via LeMat-Bulk. Energies are from GGA-PBE.

Cell and atoms, written as CIF:
```
data_ScTlZnCl6
_space_group_name_H-M_alt 'P -3 1 c'
_space_group_IT_number 163
_space_group_name_Hall '-P 3 2c'
_cell_length_a 6.5336
_cell_length_b 6.5336
_cell_length_c 14.2533
_cell_angle_alpha 90.00
_cell_angle_beta 90.00
_cell_angle_gamma 120.00
loop_
_atom_site_label
_atom_site_type_symbol
_atom_site_fract_x
_atom_site_fract_y
_atom_site_fract_z
_atom_site_occupancy
Sc1 Sc 0.3333 0.6667 0.2500 1
Tl1 Tl 0.0000 0.0000 0.0000 1
Zn1 Zn 0.3333 0.6667 0.7500 1
Cl1 Cl 0.0018 0.3763 0.6497 1
```

Summary:
- E_form (uncorrected) (meV/atom) = -1538

---

(3)
Here is crystalline BaMgRu at its relaxed geometry from Alexandria via LeMat-Bulk. Energies are from GGA-PBE.

Cell and atoms, written as CIF:
```
data_BaMgRu
_space_group_name_H-M_alt 'I 4 m m'
_space_group_IT_number 107
_space_group_name_Hall 'I 4 -2'
_cell_length_a 3.6273
_cell_length_b 3.6273
_cell_length_c 11.5548
_cell_angle_alpha 90.00
_cell_angle_beta 90.00
_cell_angle_gamma 90.00
loop_
_atom_site_label
_atom_site_type_symbol
_atom_site_fract_x
_atom_site_fract_y
_atom_site_fract_z
_atom_site_occupancy
Ba1 Ba 0.0000 0.0000 0.0000 1
Mg1 Mg 0.0000 0.0000 0.2695 1
Ru1 Ru 0.0000 0.0000 0.6941 1
```

Summary:
- energy of formation from the pure elements (meV/atom) = 337

---

(4)
Here is crystalline Sm6InCo at its relaxed geometry from Alexandria via LeMat-Bulk. Energies are from GGA-PBE.

Cell and atoms, written as CIF:
```
data_Sm6InCo
_space_group_name_H-M_alt 'C 1 2/m 1'
_space_group_IT_number 12
_space_group_name_Hall '-C 2y'
_cell_length_a 8.0511
_cell_length_b 10.0700
_cell_length_c 6.3448
_cell_angle_alpha 90.00
_cell_angle_beta 105.19
_cell_angle_gamma 90.00
loop_
_atom_site_label
_atom_site_type_symbol
_atom_site_fract_x
_atom_site_fract_y
_atom_site_fract_z
_atom_site_occupancy
Sm1 Sm 0.1117 0.1889 0.2858 1
Sm2 Sm 0.2149 0.5000 0.1133 1
In1 In 0.0000 0.5000 0.5000 1
Co1 Co 0.0000 0.0000 0.0000 1
```

Summary:
- energy of formation from the pure elements (meV/atom) = -33

---

(5)
Here is crystalline HoRu2O8 at its relaxed geometry from Alexandria via LeMat-Bulk. Energies are from GGA-PBE.

Cell and atoms, written as CIF:
```
data_HoRu2O8
_space_group_name_H-M_alt 'F m -3 m'
_space_group_IT_number 225
_space_group_name_Hall '-F 4 2 3'
_cell_length_a 9.4689
_cell_length_b 9.4689
_cell_length_c 9.4689
_cell_angle_alpha 90.00
_cell_angle_beta 90.00
_cell_angle_gamma 90.00
loop_
_atom_site_label
_atom_site_type_symbol
_atom_site_fract_x
_atom_site_fract_y
_atom_site_fract_z
_atom_site_occupancy
Ho1 Ho 0.0000 0.0000 0.0000 1
Ru1 Ru 0.2500 0.2500 0.2500 1
O1 O 0.1425 0.1425 0.1425 1
```

Summary:
- E_form (uncorrected) (meV/atom) = -1318

---

(6)
Here is crystalline RbAg2Ge at its relaxed geometry from Alexandria via LeMat-Bulk. Energies are from GGA-PBE.

Cell and atoms, written as CIF:
```
data_RbAg2Ge
_space_group_name_H-M_alt 'R -3 m'
_space_group_IT_number 166
_space_group_name_Hall '-R 3 2"'
_cell_length_a 4.6905
_cell_length_b 4.6905
_cell_length_c 18.9455
_cell_angle_alpha 90.00
_cell_angle_beta 90.00
_cell_angle_gamma 120.00
loop_
_atom_site_label
_atom_site_type_symbol
_atom_site_fract_x
_atom_site_fract_y
_atom_site_fract_z
_atom_site_occupancy
Rb1 Rb 0.0000 0.0000 0.0000 1
Ag1 Ag 0.0000 0.0000 0.1861 1
Ge1 Ge 0.0000 0.0000 0.5000 1
```

Summary:
- energy of formation from the pure elements (meV/atom) = 19

---

(7)
Here is crystalline Co2TcAs at its relaxed geometry from Alexandria via LeMat-Bulk. Energies are from GGA-PBE.

Cell and atoms, written as CIF:
```
data_Co2TcAs
_space_group_name_H-M_alt 'R -3 m'
_space_group_IT_number 166
_space_group_name_Hall '-R 3 2"'
_cell_length_a 2.7286
_cell_length_b 2.7286
_cell_length_c 23.7557
_cell_angle_alpha 90.00
_cell_angle_beta 90.00
_cell_angle_gamma 120.00
loop_
_atom_site_label
_atom_site_type_symbol
_atom_site_fract_x
_atom_site_fract_y
_atom_site_fract_z
_atom_site_occupancy
Co1 Co 0.0000 0.0000 0.2462 1
Tc1 Tc 0.0000 0.0000 0.0000 1
As1 As 0.0000 0.0000 0.5000 1
```

Summary:
- energy of formation from the pure elements (meV/atom) = 175

---

(8)
Here is crystalline Pm2CdIr at its relaxed geometry from Alexandria via LeMat-Bulk. Energies are from GGA-PBE.

Cell and atoms, written as CIF:
```
data_Pm2CdIr
_space_group_name_H-M_alt 'F m -3 m'
_space_group_IT_number 225
_space_group_name_Hall '-F 4 2 3'
_cell_length_a 7.3113
_cell_length_b 7.3113
_cell_length_c 7.3113
_cell_angle_alpha 90.00
_cell_angle_beta 90.00
_cell_angle_gamma 90.00
loop_
_atom_site_label
_atom_site_type_symbol
_atom_site_fract_x
_atom_site_fract_y
_atom_site_fract_z
_atom_site_occupancy
Pm1 Pm 0.2500 0.2500 0.2500 1
Cd1 Cd 0.0000 0.0000 0.0000 1
Ir1 Ir 0.0000 0.0000 0.5000 1
```

Summary:
- energy relative to the lowest polymorph listed for this composition (meV/atom) = 79
- energy of formation from the pure elements (meV/atom) = -444

---

| no. | total moment (μB/f.u.) | total DFT energy (no corrections) (eV per atom) |
| --- | --- | --- |
| 1 | 0.000 | -3.22 |
| 2 | 0.000 | -3.88 |
| 3 | 0.000 | -3.93 |
| 4 | 0.000 | -4.80 |
| 5 | 0.001 | -7.03 |
| 6 | 0.000 | -2.80 |
| 7 | 0.761 | -7.13 |
| 8 | 0.000 | -5.26 |